No. 1
The following is a DFT calculation (PBE) of crystalline La6PmPr2Sc at its relaxed geometry.

Computed properties:
Symmetry: C2/m (12)

a = 9.4727 Å, b = 7.4273 Å, c = 6.3142 Å
α = 126.03°, β = 82.39°, γ = 90.00°
Closest atoms and distances in Å follow each position.
Element x y z (fractional)
La 0.2680 0.5923 0.7364  1 Sc 3.15, 3 La 3.19-3.47, 1 Pm 3.44
Pr 0.0533 0.1559 0.3118  1 Sc 3.47, 1 Pr 3.49, 6 La 3.61-3.87
La 0.3752 0.6339 0.2677  5 La 3.19-3.47
Sc 0.0000 0.5000 0.0000  4 La 3.15, 2 Pr 3.47
Pr 0.9467 0.8441 0.6882  1 Sc 3.47, 1 Pr 3.49, 6 La 3.61-3.87
Pm 0.5000 0.0000 0.0000  4 La 3.44
La 0.2680 0.1442 0.7364  1 Sc 3.15, 3 La 3.19-3.47, 1 Pm 3.44
La 0.7320 0.8558 0.2636  1 Sc 3.15, 3 La 3.19-3.47, 1 Pm 3.44
La 0.6248 0.3661 0.7323  5 La 3.19-3.47
La 0.7320 0.4077 0.2636  1 Sc 3.15, 3 La 3.19-3.47, 1 Pm 3.44

---

No. 2
The following is a DFT calculation (PBE) of crystalline La4PmPr2Sc at its relaxed geometry.

Computed properties:
Symmetry: Pmmm (47)

a = 6.0415 Å, b = 6.0364 Å, c = 9.7231 Å
α = 51.60°, β = 90.00°, γ = 90.00°
Closest atoms and distances in Å follow each position.
Element x y z (fractional)
La 0.0000 0.7632 0.7365  2 Sc 3.51-3.52, 4 Pr 3.52-3.63, 1 La 3.60, 2 Pm 3.63
La 0.5000 0.2675 0.7324  4 Pr 3.50-3.64, 2 Sc 3.50, 1 La 3.54, 2 Pm 3.64
La 0.0000 0.2368 0.2635  2 Sc 3.51-3.52, 4 Pr 3.52-3.63, 1 La 3.60, 2 Pm 3.63
Pr 0.5000 0.0000 0.5000  8 La 3.50-3.52, 2 Pm 3.81
La 0.5000 0.7325 0.2676  4 Pr 3.50-3.64, 2 Sc 3.50, 1 La 3.54, 2 Pm 3.64
Sc 0.0000 0.5000 0.5000  8 La 3.50-3.52, 2 Pr 3.81
Pm 0.5000 0.5000 0.0000  8 La 3.63-3.64, 2 Pr 3.81
Pr 0.0000 0.0000 0.0000  8 La 3.62-3.64, 2 Sc 3.81

---

E_form values (in eV/atom) by entry order: 0.188 0.097.